1.
The following is a PBE-GGA calculation of an optimized crystal structure of CaScAl2, from the Alexandria database.

## Properties
Formation energy = 0.0068 eV per atom
Total magnetic moment = 0.00 μB/f.u.

a = 3.351 Å, b = 4.332 Å, c = 6.388 Å
α = 90.00°, β = 90.00°, γ = 90.00°
Element x y z (fractional)
Ca 0.000 0.000 0.000
Sc 0.500 0.500 0.308
Al 0.000 0.000 0.505
Al 0.500 0.500 0.747

2.
The following is a PBE-GGA calculation of an optimized crystal structure of SrLa2Zr2, from the Alexandria database.

## Properties
Formation energy = 0.2638 eV per atom
Total magnetic moment = 0.00 μB/f.u.

a = 9.680 Å, b = 9.680 Å, c = 3.502 Å
α = 90.00°, β = 90.00°, γ = 90.00°
Element x y z (fractional)
Sr 0.000 0.000 0.000
Sr 0.500 0.500 0.000
La 0.183 0.317 0.500
La 0.317 0.817 0.500
La 0.683 0.183 0.500
La 0.817 0.683 0.500
Zr 0.110 0.610 0.000
Zr 0.390 0.110 0.000
Zr 0.610 0.890 0.000
Zr 0.890 0.390 0.000

3.
The following is a PBE-GGA calculation of an optimized crystal structure of CaZrBi, from the Alexandria database.

## Properties
Formation energy = -0.5406 eV per atom
Total magnetic moment = 0.00 μB/f.u.

a = 4.454 Å, b = 4.454 Å, c = 17.140 Å
α = 90.00°, β = 90.00°, γ = 90.00°
Element x y z (fractional)
Ca 0.000 0.000 0.171
Ca 0.000 0.000 0.829
Ca 0.500 0.500 0.329
Ca 0.500 0.500 0.671
Zr 0.000 0.500 0.000
Zr 0.000 0.500 0.500
Zr 0.500 0.000 0.000
Zr 0.500 0.000 0.500
Bi 0.000 0.000 0.369
Bi 0.000 0.000 0.631
Bi 0.500 0.500 0.131
Bi 0.500 0.500 0.869

4.
The following is a PBE-GGA calculation of an optimized crystal structure of TlGa4O2, from the Alexandria database.

## Properties
Total magnetic moment = 0.00 μB/f.u.
Formation energy (no corrections) = -0.73 eV per formula unit

a = 5.314 Å, b = 5.314 Å, c = 12.451 Å
α = 90.00°, β = 90.00°, γ = 90.00°
Element x y z (fractional)
Tl 0.000 0.000 0.000
Tl 0.500 0.500 0.500
Ga 0.000 0.000 0.249
Ga 0.000 0.000 0.751
Ga 0.000 0.500 0.000
Ga 0.000 0.500 0.500
Ga 0.500 0.000 0.000
Ga 0.500 0.000 0.500
Ga 0.500 0.500 0.251
Ga 0.500 0.500 0.749
O 0.000 0.000 0.390
O 0.000 0.000 0.610
O 0.500 0.500 0.110
O 0.500 0.500 0.890

5.
The following is a PBE-GGA calculation of an optimized crystal structure of NaSiAs2Ir, from the Alexandria database.

## Properties
Total magnetic moment = 0.00 μB/f.u.
Formation energy (no corrections) = 1.70 eV per formula unit

a = 5.089 Å, b = 5.089 Å, c = 4.565 Å
α = 90.00°, β = 90.00°, γ = 90.00°
Element x y z (fractional)
Na 0.000 0.000 0.000
Si 0.500 0.500 0.000
As 0.000 0.500 0.500
As 0.500 0.000 0.500
Ir 0.500 0.500 0.500

6.
The following is a PBE-GGA calculation of an optimized crystal structure of ZnW5, from the Alexandria database.

## Properties
Formation energy = 0.4699 eV per atom
Total magnetic moment = 0.00 μB/f.u.

a = 5.239 Å, b = 5.239 Å, c = 5.239 Å
α = 60.00°, β = 60.00°, γ = 60.00°
Element x y z (fractional)
Zn 0.000 0.000 0.000
W 0.374 0.374 0.374
W 0.374 0.374 0.877
W 0.374 0.877 0.374
W 0.750 0.750 0.750
W 0.877 0.374 0.374